Ac5LaZn6 | PBE | optimized geometry

Results
Theoretical density in Mg/m³: 7.9
Space group: Immm
Crystal system: orthorhombic
Energy of formation in eV per atom: -0.2612

Cell and atoms, written as POSCAR:
```
Ac5LaZn6
1.0
5.2910 -0.0063 -1.4843
-3.9606 7.6758 -3.9676
-0.2103 -1.1047 9.4383
Ac Zn La
5 6 1
Direct
0.5000 0.1671 0.8329
0.0000 0.3338 0.6662
0.5000 0.5000 0.5000
0.0000 0.6662 0.3338
0.5000 0.8329 0.1671
0.2455 0.0820 0.4093
0.7545 0.5907 0.9180
0.7419 0.2417 0.2417
0.2581 0.7583 0.7583
0.2455 0.4093 0.0820
0.7545 0.9180 0.5907
0.0000 0.0000 0.0000
```

=====

Nb2Fe2Re | PBE | optimized geometry

Results
Theoretical density in Mg/m³: 10.8
Space group: P4/mbm
Crystal system: tetragonal
Energy of formation in eV per atom: 0.0695

Cell and atoms, written as POSCAR:
```
Nb2Fe2Re
1.0
-1.4563 -4.2065 -4.3476
5.5114 0.9210 -2.7373
1.5364 -2.7670 2.1625
Re Nb Fe
2 4 4
Direct
0.0000 0.0000 0.0000
0.5000 0.5000 0.0000
0.1795 0.6795 0.5000
0.6795 0.8205 0.5000
0.8205 0.3205 0.5000
0.3205 0.1795 0.5000
0.3743 0.8743 0.0000
0.8743 0.6257 0.0000
0.6257 0.1257 0.0000
0.1257 0.3743 0.0000
```

=====

YTaCo2Bi | PBE | optimized geometry

Results
Theoretical density in Mg/m³: 8.5
Space group: P4/mmm
Crystal system: tetragonal
Energy of formation in eV per atom: 0.9001

Cell and atoms, written as POSCAR:
```
YTaCo2Bi
1.0
-3.0458 2.5946 2.1976
-3.9732 -1.6819 -3.5209
-0.9768 -3.4936 2.7711
Y Co Bi Ta
1 2 1 1
Direct
0.0000 0.5000 0.0000
0.0000 0.0000 0.5000
0.5000 0.0000 0.0000
0.5000 0.5000 0.5000
0.0000 0.0000 0.0000
```

=====

ScAg2S | PBE | optimized geometry

Results
Theoretical density in Mg/m³: 6.0
Formation energy (no corrections) in eV per atom: -0.322
Space group: I-42d
Crystal system: tetragonal

Cell and atoms, written as POSCAR:
```
ScAg2S
1.0
-1.1497 -5.7312 -5.4747
2.5699 -5.5027 5.2209
-1.6687 -5.9365 0.7071
Sc S Ag
2 2 4
Direct
0.0000 0.0000 0.0000
0.7500 0.2500 0.5000
0.5000 0.5000 0.0000
0.2500 0.7500 0.5000
0.5757 0.1250 0.2500
0.1743 0.6250 0.2500
0.3750 0.4243 0.7500
0.8750 0.8257 0.7500
```